w | {"formula": "AlInPS2", "functional": "PBE", "state": "relaxed", "cell": [[4.6122, 0.0000, 0.0000], [0.0000, 4.6122, 0.0000], [0.0000, 0.0000, 4.9085]], "species": ["Al", "In", "P", "S", "S"], "frac_coords": [[0.0000, 0.0000, 0.0000], [0.5000, 0.5000, 0.5000], [0.0000, 0.0000, 0.5000], [0.0000, 0.5000, 0.0000], [0.5000, 0.0000, 0.0000]]}

x | {"formula": "AlInPS2", "functional": "PBE", "state": "relaxed", "cell": [[5.0605, 0.0000, 0.0000], [0.0000, 5.0605, 0.0000], [0.0000, 0.0000, 5.1192]], "species": ["Al", "In", "P", "S", "S"], "frac_coords": [[0.0000, 0.0000, 0.0000], [0.5000, 0.5000, 0.5000], [0.5000, 0.5000, 0.0000], [0.0000, 0.5000, 0.5000], [0.5000, 0.0000, 0.5000]]}

Result of the stability comparison: w is the most stable of them.

w | {"formula": "PaAlIn2", "functional": "PBE", "state": "relaxed", "cell": [[4.4770, 0.0000, 0.0000], [0.0000, 4.4770, 0.0000], [0.0000, 0.0000, 4.6645]], "species": ["Pa", "Al", "In", "In"], "frac_coords": [[0.0000, 0.0000, 0.0000], [0.5000, 0.5000, 0.0000], [0.0000, 0.5000, 0.5000], [0.5000, 0.0000, 0.5000]]}

x | {"formula": "PaAlIn2", "functional": "PBE", "state": "relaxed", "cell": [[4.7147, 0.0000, 0.0000], [-2.3574, 4.0831, 0.0000], [0.0000, 0.0000, 15.1078]], "species": ["Pa", "Pa", "Pa", "Al", "Al", "Al", "In", "In", "In", "In", "In", "In"], "frac_coords": [[0.0000, 0.0000, 0.0000], [0.3333, 0.6667, 0.6667], [0.6667, 0.3333, 0.3333], [0.0000, 0.0000, 0.5000], [0.3333, 0.6667, 0.1667], [0.6667, 0.3333, 0.8333], [0.0000, 0.0000, 0.2287], [0.0000, 0.0000, 0.7713], [0.3333, 0.6667, 0.4380], [0.3333, 0.6667, 0.8953], [0.6667, 0.3333, 0.1047], [0.6667, 0.3333, 0.5620]]}

Result of the stability comparison: w is the most stable of them.

w | {"formula": "PaAlIn", "functional": "PBE", "state": "relaxed", "cell": [[0.0000, 3.9971, 7.0443], [2.7528, 0.0000, 7.0443], [2.7528, 3.9971, 0.0000]], "species": ["Pa", "Pa", "Al", "Al", "In", "In"], "frac_coords": [[0.0922, 0.0922, 0.9078], [0.9078, 0.9078, 0.0922], [0.3396, 0.6604, 0.3396], [0.6604, 0.3396, 0.6604], [0.2500, 0.2500, 0.2500], [0.7500, 0.7500, 0.7500]]}

x | {"formula": "PaAlIn", "functional": "PBE", "state": "relaxed", "cell": [[3.2086, 0.0000, 0.0000], [0.0000, 3.2086, 0.0000], [0.0000, 0.0000, 13.1310]], "species": ["Pa", "Pa", "Al", "Al", "In", "In"], "frac_coords": [[0.0000, 0.0000, 0.0000], [0.5000, 0.5000, 0.5000], [0.0000, 0.0000, 0.6586], [0.5000, 0.5000, 0.1586], [0.0000, 0.0000, 0.3127], [0.5000, 0.5000, 0.8127]]}

y | {"formula": "PaAlIn", "functional": "PBE", "state": "relaxed", "cell": [[4.9100, 0.0000, 0.0000], [-2.4550, 4.2522, 0.0000], [0.0000, 0.0000, 3.2446]], "species": ["Pa", "Al", "In"], "frac_coords": [[0.0000, 0.0000, 0.0000], [0.3333, 0.6667, 0.5000], [0.6667, 0.3333, 0.5000]]}

Result of the stability comparison: y is the most stable of them.

w | {"formula": "AlIn2Pb", "functional": "PBE", "state": "relaxed", "cell": [[4.4033, 0.0000, 0.0000], [0.0000, 4.4033, 0.0000], [0.0000, 0.0000, 22.2703]], "species": ["Al", "Al", "Al", "Al", "In", "In", "In", "In", "In", "In", "In", "In", "Pb", "Pb", "Pb", "Pb"], "frac_coords": [[0.0000, 0.0000, 0.0000], [0.0000, 0.5000, 0.2500], [0.5000, 0.0000, 0.7500], [0.5000, 0.5000, 0.5000], [0.2386, 0.2500, 0.1250], [0.2500, 0.7386, 0.3750], [0.2500, 0.7614, 0.8750], [0.2614, 0.2500, 0.6250], [0.7386, 0.7500, 0.6250], [0.7500, 0.2386, 0.8750], [0.7500, 0.2614, 0.3750], [0.7614, 0.7500, 0.1250], [0.0000, 0.0000, 0.5000], [0.0000, 0.5000, 0.7500], [0.5000, 0.0000, 0.2500], [0.5000, 0.5000, 0.0000]]}

x | {"formula": "AlIn2Pb", "functional": "PBE", "state": "relaxed", "cell": [[3.4468, 0.0000, 0.0000], [0.0000, 3.4468, 0.0000], [0.0000, 0.0000, 8.6452]], "species": ["Al", "In", "In", "Pb"], "frac_coords": [[0.0000, 0.0000, 0.0000], [0.5000, 0.5000, 0.2164], [0.5000, 0.5000, 0.7836], [0.0000, 0.0000, 0.5000]]}

Result of the stability comparison: x is the most stable of them.